Na2Zr2VTe6 | GGA-PBE | optimized geometry

Formation energy without anion corrections: -0.7866 eV per atom
DOS at the Fermi energy: 3.96 states/eV per cell
VASP energy: -56.36 eV for the cell shown
SG: C2/m

Cell lengths 6.9900, 6.9900, 8.2207 Å; angles 98.46, 98.46, 120.03 degrees
Last column: nearest neighbours and their distance in Å.
Fractional positions:
Te 0.7506 0.7506 0.7171  1 V 2.84, 2 Zr 2.93
Te 0.6014 0.9210 0.2810  1 V 2.83, 2 Zr 2.92-2.93
Te 0.2494 0.2494 0.2829  1 V 2.84, 2 Zr 2.93
Te 0.0790 0.3986 0.7190  1 V 2.83, 2 Zr 2.92-2.93
Te 0.9210 0.6014 0.2810  1 V 2.83, 2 Zr 2.92-2.93
Te 0.3986 0.0790 0.7190  1 V 2.83, 2 Zr 2.92-2.93
Na 0.1710 0.8290 0.0000  6 Te 3.22-3.23
Na 0.8290 0.1710 0.0000  6 Te 3.22-3.23
V 0.0000 0.0000 0.5000  6 Te 2.83-2.84
Zr 0.6681 0.3319 0.5000  6 Te 2.92-2.93
Zr 0.3319 0.6681 0.5000  6 Te 2.92-2.93